Entry 1:
10
Lattice="-4.798 -1.182 5.259 -4.603 -2.764 -4.821 1.038 -2.428 0.401" Properties=species:S:1:pos:R:3 comment="MgCo2Ru2 (PBE, optimized geometry)" rho_g_cm3=8.222 relative_energy_ev_per_atom=0.000 volume_a3_per_cell=139.1 ef_ev_per_atom=0.2335 pbc="T T T"
Co -6.516 -4.301 -0.279
Ru -5.822 -2.860 -2.246
Ru -7.075 -2.763 1.583
Mg -4.700 -1.973 0.219
Ru -3.579 -1.086 2.684
Co -1.847 -2.074 1.118
Co -3.379 -3.266 -2.136
Ru -2.326 -1.183 -1.146
Co -4.984 -3.108 2.974
Mg 0.000 0.000 0.000


Entry 2:
8
Lattice="-0.699 -2.119 -3.668 6.486 1.840 -2.299 2.859 -6.334 3.114" Properties=species:S:1:pos:R:3 comment="CdAg2SnSe4 (PBE, optimized geometry)" rho_g_cm3=5.439 volume_a3_per_cell=232.9 raw_formation_energy_mev_per_atom=-299 pbc="T T T"
Se 6.907 0.793 -1.774
Ag 1.420 -2.902 -1.107
Se 1.592 -5.173 0.172
Sn 4.546 0.176 -0.968
Se 5.622 -4.435 1.491
Se 3.896 -2.266 -1.946
Ag 5.830 -4.247 -1.171
Cd 3.058 -5.039 2.328


Entry 3:
24
Lattice="-2.764 -1.566 2.980 -7.250 -3.012 -8.307 6.964 -8.884 1.792" Properties=species:S:1:pos:R:3 comment="Li9Cd4Sn11 (PBE, optimized geometry)" rho_g_cm3=5.553 volume_a3_per_cell=543.6 ef_ev_per_atom=-0.1898 pbc="T T T"
Li -4.927 -3.900 -3.435
Li 1.876 -9.561 -0.099
Li -2.701 -1.515 -0.118
Li -1.525 -6.731 -1.767
Cd -0.335 -9.159 -1.939
Cd -2.808 -8.137 -3.696
Sn 2.356 -3.753 0.213
Li -0.349 -11.946 -3.416
Sn -2.081 -5.147 -4.634
Sn -2.642 -8.142 -6.728
Li 1.944 -6.738 1.447
Sn -0.064 -2.663 -1.458
Li -0.124 -2.579 1.713
Cd -0.242 -5.324 0.162
Li -2.927 -10.882 -5.247
Sn -2.488 -1.752 -3.228
Sn 4.349 -7.804 -0.066
Sn 0.000 0.000 0.000
Cd -2.716 -4.302 -1.595
Sn -4.636 -4.092 -6.449
Sn -0.222 -9.233 -5.056
Sn 2.202 -10.143 -3.286
Li -4.994 -6.723 -4.981
Sn 1.794 -6.748 -1.881